No. 1
Here is crystalline InSbTe2 at its relaxed geometry from Alexandria. Energies are from PBE.

Lattice parameters (Å, degrees): 3.8898 3.8898 8.7846 90.00 90.00 90.00
Positions (direct):
In 0.0000 0.0000 0.0000
Sb 0.5000 0.5000 0.3327
Te 0.0000 0.0000 0.4846
Te 0.5000 0.5000 0.8454

The value obtained for the total energy is -3.21 eV per atom.

No. 2
Here is crystalline InSbTe2 at its relaxed geometry from Alexandria. Energies are from PBE.

Lattice parameters (Å, degrees): 4.3511 4.3511 24.0844 90.00 90.00 120.00
Positions (direct):
In 0.0000 0.0000 0.0000
In 0.3333 0.6667 0.6667
In 0.6667 0.3333 0.3333
Sb 0.0000 0.0000 0.2448
Sb 0.3333 0.6667 0.9115
Sb 0.6667 0.3333 0.5781
Te 0.0000 0.0000 0.5111
Te 0.0000 0.0000 0.7301
Te 0.3333 0.6667 0.1778
Te 0.3333 0.6667 0.3968
Te 0.6667 0.3333 0.0634
Te 0.6667 0.3333 0.8444

The value obtained for the total energy is -3.41 eV per atom.

No. 3
Here is crystalline InSbTe2 at its relaxed geometry from Alexandria. Energies are from PBE.

Lattice parameters (Å, degrees): 8.8871 8.9048 3.1766 90.00 90.00 90.00
Positions (direct):
In 0.0000 0.0000 0.0000
In 0.5000 0.5000 0.0000
Sb 0.0000 0.5000 0.0000
Sb 0.5000 0.0000 0.0000
Te 0.2500 0.2500 0.0000
Te 0.2500 0.7500 0.0000
Te 0.7500 0.2500 0.0000
Te 0.7500 0.7500 0.0000

The value obtained for the total energy is -3.37 eV per atom.

No. 4
Here is crystalline InSbTe2 at its relaxed geometry from Alexandria. Energies are from PBE.

Lattice parameters (Å, degrees): 4.4029 4.4029 24.3061 90.00 90.00 120.00
Positions (direct):
In 0.0000 0.0000 0.0000
In 0.3333 0.6667 0.6667
In 0.6667 0.3333 0.3333
Sb 0.0000 0.0000 0.1724
Sb 0.3333 0.6667 0.8390
Sb 0.6667 0.3333 0.5057
Te 0.0000 0.0000 0.5820
Te 0.0000 0.0000 0.7673
Te 0.3333 0.6667 0.2487
Te 0.3333 0.6667 0.4340
Te 0.6667 0.3333 0.1007
Te 0.6667 0.3333 0.9153

The value obtained for the total energy is -3.44 eV per atom.

No. 5
Here is crystalline In3SbTe2 at its relaxed geometry from Alexandria. Energies are from PBE.

Lattice parameters (Å, degrees): 4.3927 4.3927 10.8041 90.00 90.00 120.00
Positions (direct):
In 0.0000 0.0000 0.0000
In 0.3333 0.6667 0.6544
In 0.6667 0.3333 0.3456
Sb 0.0000 0.0000 0.5000
Te 0.3333 0.6667 0.1684
Te 0.6667 0.3333 0.8316

The value obtained for the energy above the most stable polymorph in this dataset is 10 meV/atom.

No. 6
Here is crystalline In3SbTe2 at its relaxed geometry from Alexandria. Energies are from PBE.

Lattice parameters (Å, degrees): 4.4018 6.2036 13.1969 90.00 90.00 90.00
Positions (direct):
In 0.0000 0.0000 0.0000
In 0.0000 0.0000 0.3410
In 0.0000 0.0000 0.6590
In 0.5000 0.5000 0.1590
In 0.5000 0.5000 0.5000
In 0.5000 0.5000 0.8410
Sb 0.0000 0.5000 0.0000
Sb 0.5000 0.0000 0.5000
Te 0.0000 0.5000 0.3281
Te 0.0000 0.5000 0.6719
Te 0.5000 0.0000 0.1719
Te 0.5000 0.0000 0.8281

The value obtained for the energy above the most stable polymorph in this dataset is 0 meV/atom.

Please write out number 4 again, unchanged.
Here is crystalline InSbTe2 at its relaxed geometry from Alexandria. Energies are from PBE.

Lattice parameters (Å, degrees): 4.4029 4.4029 24.3061 90.00 90.00 120.00
Positions (direct):
In 0.0000 0.0000 0.0000
In 0.3333 0.6667 0.6667
In 0.6667 0.3333 0.3333
Sb 0.0000 0.0000 0.1724
Sb 0.3333 0.6667 0.8390
Sb 0.6667 0.3333 0.5057
Te 0.0000 0.0000 0.5820
Te 0.0000 0.0000 0.7673
Te 0.3333 0.6667 0.2487
Te 0.3333 0.6667 0.4340
Te 0.6667 0.3333 0.1007
Te 0.6667 0.3333 0.9153

The value obtained for the total energy is -3.44 eV per atom.

What did the sixth record say?
Here is crystalline In3SbTe2 at its relaxed geometry from Alexandria. Energies are from PBE.

Lattice parameters (Å, degrees): 4.4018 6.2036 13.1969 90.00 90.00 90.00
Positions (direct):
In 0.0000 0.0000 0.0000
In 0.0000 0.0000 0.3410
In 0.0000 0.0000 0.6590
In 0.5000 0.5000 0.1590
In 0.5000 0.5000 0.5000
In 0.5000 0.5000 0.8410
Sb 0.0000 0.5000 0.0000
Sb 0.5000 0.0000 0.5000
Te 0.0000 0.5000 0.3281
Te 0.0000 0.5000 0.6719
Te 0.5000 0.0000 0.1719
Te 0.5000 0.0000 0.8281

The value obtained for the energy above the most stable polymorph in this dataset is 0 meV/atom.